Record 1
Computed, not measured: a relaxed CaGdInGa crystal at the PBE level of DFT.

a = 7.481 Å, b = 7.481 Å, c = 7.481 Å
α = 90.00°, β = 90.00°, γ = 90.00°
Space group F-43m (No. 216)
Asymmetric unit:
1 Ca 0.000 0.000 0.000 [4 per cell]
2 Gd 0.000 0.000 0.500 [4 per cell]
3 In 0.250 0.250 0.250 [4 per cell]
4 Ga 0.250 0.250 0.750 [4 per cell]

Computed properties:
- Fermi-level density of states: 2.79 states/eV/f.u.
- Calculated formation energy: -1.9 eV per formula unit

---

Record 2
Computed, not measured: a relaxed ScH2F crystal at the PBE level of DFT.

a = 5.047 Å, b = 5.047 Å, c = 5.047 Å
α = 90.00°, β = 90.00°, γ = 90.00°
Space group Fm-3m (No. 225)
Asymmetric unit:
1 Sc 0.000 0.000 0.000 [4 per cell]
2 H 0.250 0.250 0.250 [8 per cell]
3 F 0.000 0.000 0.500 [4 per cell]

Computed properties:
- Fermi-level density of states: 0.00 states/eV/f.u.
- Offset from the most stable computed form: 0.00 kcal/mol of atoms

---

Record 3
Computed, not measured: a relaxed LaSm2Mg3 crystal at the PBE level of DFT.

a = 3.883 Å, b = 3.883 Å, c = 11.698 Å
α = 90.00°, β = 90.00°, γ = 90.00°
Space group P4/mmm (No. 123)
Asymmetric unit:
1 La 0.000 0.000 0.000 [1 per cell]
2 Sm 0.000 0.000 0.337 [2 per cell]
3 Mg 0.500 0.500 0.176 [2 per cell]
4 Mg 0.500 0.500 0.500 [1 per cell]

Computed properties:
- Fermi-level density of states: 7.13 states/eV/f.u.
- Calculated formation energy: -0.6 eV per formula unit

---

Record 4
Computed, not measured: a relaxed SnH6CBr3N3 crystal at the PBE level of DFT.

a = 9.053 Å, b = 7.938 Å, c = 18.032 Å
α = 90.00°, β = 119.60°, γ = 90.00°
Space group P2_1/c (No. 14)
Asymmetric unit:
1 Sn 0.004 0.032 0.249 [4 per cell]
2 H 0.100 0.230 0.482 [4 per cell]
3 H 0.102 0.222 0.578 [4 per cell]
4 H 0.358 0.219 0.980 [4 per cell]
5 H 0.367 0.197 0.707 [4 per cell]
6 H 0.446 0.743 0.793 [4 per cell]
7 H 0.449 0.747 0.426 [4 per cell]
8 C 0.339 0.237 0.588 [4 per cell]
9 Br 0.138 0.727 0.171 [4 per cell]
10 Br 0.147 0.717 0.895 [4 per cell]
11 Br 0.293 0.167 0.827 [4 per cell]
12 N 0.169 0.231 0.547 [4 per cell]
13 N 0.422 0.241 0.045 [4 per cell]
14 N 0.427 0.221 0.673 [4 per cell]

Computed properties:
- Fermi-level density of states: 0.00 states/eV/f.u.
- Offset from the most stable computed form: 0.00 kcal/mol of atoms